Record 1
Density functional theory data (GGA-PBE) for a relaxed Cd2Pd7Pb2 crystal.

a b c (Å): 6.112 6.324 6.112
angles (deg): 90.00 99.01 90.00
Fractional coordinates of all 11 atoms:
Pd: 0.000 0.723 0.500
Pd: 0.500 0.277 0.000
Pd: 0.000 0.277 0.500
Pd: 0.500 0.284 0.500
Pd: 0.500 0.723 0.000
Pd: 0.000 0.000 0.000
Pd: 0.500 0.716 0.500
Pb: 0.806 0.500 0.806
Pb: 0.194 0.500 0.194
Cd: 0.713 0.000 0.287
Cd: 0.287 0.000 0.713

Computed properties:
**Electronic total energy**: -44.93 eV/cell
**Density of states at the Fermi level**: 0.37 states/eV/atom
**Space-group type**: Cmmm (65)
**Formation energy**: 0.06 eV/atom

***

Record 2
Density functional theory data (GGA-PBE) for a relaxed Ce2MnCo crystal.

a b c (Å): 3.436 3.436 8.468
angles (deg): 78.29 78.29 60.00
Each line ends with the local moment (μB).
Fractional coordinates of all 4 atoms:
Ce: 0.094 0.094 0.718  -0.37
Ce: 0.906 0.906 0.282  -0.37
Co: 0.500 0.500 0.500  0.10
Mn: 0.000 0.000 0.000  2.00

Computed properties:
**Electronic total energy**: -26.43 eV/cell
**Density of states at the Fermi level**: 1.25 states/eV/atom
**Relative energy among the computed polymorphs**: 30.8 kJ/mol of atoms
**Space-group type**: R-3m (166)
**Formation energy**: 0.43 eV/atom

***

Record 3
Density functional theory data (GGA-PBE) for a relaxed Na3P2 crystal.

a b c (Å): 4.509 5.578 5.578
angles (deg): 64.04 66.16 66.16
Fractional coordinates of all 5 atoms:
Na: 0.206 0.294 0.294
Na: 0.000 0.000 0.000
Na: 0.794 0.706 0.706
P: 0.500 0.316 0.684
P: 0.500 0.684 0.316

Computed properties:
**Electronic total energy**: -16.37 eV/cell
**Density of states at the Fermi level**: 0.37 states/eV/atom
**Space-group type**: Immm (71)
**Formation energy**: -0.32 eV/atom

***

Record 4
Density functional theory data (GGA-PBE) for a relaxed CaPm3Pr2As6 crystal.

a b c (Å): 4.267 8.536 9.552
angles (deg): 103.01 102.90 90.00
Fractional coordinates of all 12 atoms:
Pm: 0.500 0.500 0.000
Pm: 0.834 0.165 0.668
Pm: 0.166 0.835 0.332
Ca: 0.500 0.000 0.000
As: 0.666 0.585 0.332
As: 0.999 0.254 0.998
As: 0.334 0.415 0.668
As: 0.332 0.919 0.664
As: 0.668 0.081 0.336
As: 0.001 0.746 0.002
Pr: 0.834 0.669 0.669
Pr: 0.166 0.331 0.331

Computed properties:
**Electronic total energy**: -70.61 eV/cell
**Density of states at the Fermi level**: 0.47 states/eV/atom
**Space-group type**: C2/m (12)
**Formation energy**: -1.41 eV/atom

***

Record 5
Density functional theory data (GGA-PBE) for a relaxed CdH4Pt2 crystal.

a b c (Å): 6.714 6.714 5.854
angles (deg): 79.66 79.66 133.40
Fractional coordinates of all 14 atoms:
Pt: 0.370 0.416 0.500
Pt: 0.666 0.120 0.000
Pt: 0.120 0.665 0.000
Pt: 0.915 0.870 0.500
H: 0.291 0.117 0.435
H: 0.552 0.727 0.565
H: 0.744 0.417 0.068
H: 0.977 0.302 0.065
H: 0.667 0.493 0.568
H: 0.367 0.041 0.935
H: 0.061 0.235 0.432
H: 0.485 0.811 0.932
Cd: 0.142 0.642 0.500
Cd: 0.892 0.892 0.000

Computed properties:
**Electronic total energy**: -53.20 eV/cell
**Density of states at the Fermi level**: 0.17 states/eV/atom
**Space-group type**: Fdd2 (43)

***

Record 6
Density functional theory data (GGA-PBE) for a relaxed Y2SiRh crystal.

a b c (Å): 7.562 7.562 6.257
angles (deg): 52.82 52.82 90.00
Fractional coordinates of all 8 atoms:
Y: 0.875 0.896 0.750
Y: 0.375 0.354 0.750
Y: 0.104 0.625 0.250
Y: 0.646 0.125 0.250
Si: 0.250 0.750 0.500
Si: 0.500 0.500 0.000
Rh: 0.750 0.250 0.500
Rh: 0.000 0.000 0.000

Computed properties:
**Electronic total energy**: -53.58 eV/cell
**Density of states at the Fermi level**: 0.87 states/eV/atom
**Space-group type**: I-42d (122)
**ΔE_f (raw)**: -1.09 eV/f.u.